[1]
Here is a relaxed Pt3Cl crystal from the Alexandria database. Energies are from GGA-PBE.

The space group is Fm-3m (No. 225) and the conventional cell measures 6.3978, 6.3978 and 6.3978 Å, with angles of 90.00, 90.00 and 90.00 degrees. The inequivalent atoms are Pt at (0.0000, 0.0000, 0.0000), Pt at (0.2500, 0.2500, 0.2500) and Cl at (0.0000, 0.0000, 0.5000).

The calculation puts the total DFT energy (no corrections) at -4.3795 eV/atom.

[2]
Here is a relaxed Pt3Cl2 crystal from the Alexandria database. Energies are from GGA-PBE.

The space group is Fdd2 (No. 43) and the conventional cell measures 9.2010, 10.1736 and 8.2019 Å, with angles of 90.00, 90.00 and 90.00 degrees. The inequivalent atoms are Pt at (0.0000, 0.0000, 0.0000), Pt at (0.0119, 0.3744, 0.7752) and Cl at (0.0854, 0.1478, 0.7893).

The calculation puts the total DFT energy (no corrections) at -4.1426 eV/atom.

Please write out number 2 again, unchanged.
Here is a relaxed Pt3Cl2 crystal from the Alexandria database. Energies are from GGA-PBE.

The space group is Fdd2 (No. 43) and the conventional cell measures 9.2010, 10.1736 and 8.2019 Å, with angles of 90.00, 90.00 and 90.00 degrees. The inequivalent atoms are Pt at (0.0000, 0.0000, 0.0000), Pt at (0.0119, 0.3744, 0.7752) and Cl at (0.0854, 0.1478, 0.7893).

The calculation puts the total DFT energy (no corrections) at -4.1426 eV/atom.